# TbTl2Cr3F12 GGA+U relaxed
data_TbTl2Cr3F12
_chemical_formula_sum 'Tb1 Tl2 Cr3 F12'
_space_group_name_H-M_alt 'P 1'
_space_group_IT_number 1
_cell_length_a 7.2938
_cell_length_b 7.2938
_cell_length_c 7.2938
_cell_angle_alpha 65.42
_cell_angle_beta 65.42
_cell_angle_gamma 65.42
loop_
_space_group_symop_operation_xyz
'x,y,z'
loop_
_atom_site_label
_atom_site_fract_x
_atom_site_fract_y
_atom_site_fract_z
Tb1 0.0000 0.0000 0.0000
Tl1 0.3805 0.3805 0.3805
Tl2 0.6195 0.6195 0.6195
Cr1 0.0000 0.0000 0.5000
Cr2 0.0000 0.5000 0.0000
Cr3 0.5000 0.0000 0.0000
F1 0.0823 0.7080 0.7080
F2 0.1023 0.1023 0.6444
F3 0.1023 0.6444 0.1023
F4 0.2920 0.2920 0.9177
F5 0.2920 0.9177 0.2920
F6 0.3556 0.8977 0.8977
F7 0.6444 0.1023 0.1023
F8 0.7080 0.0823 0.7080
F9 0.7080 0.7080 0.0823
F10 0.8977 0.3556 0.8977
F11 0.8977 0.8977 0.3556
F12 0.9177 0.2920 0.2920
# Space-group type: R-3m, No. 166
# Total energy in eV/atom: -5.755
# Magnetization in μB/f.u.: 11.0
# N(E_F) in states/eV per cell: 0.7